Record 1
First-principles (GGA+U) data for crystalline DyHoMoO6 at its relaxed geometry, as listed in Alexandria.

abc: 5.489 5.489 4.764
angles: 90.00 90.00 120.00
Atoms (fractional coordinates):
Dy  0.000  0.000  0.000
Ho  0.667  0.333  0.500
Mo  0.333  0.667  0.000
O  0.033  0.374  0.229
O  0.033  0.659  0.771
O  0.341  0.374  0.771
O  0.341  0.967  0.229
O  0.626  0.659  0.229
O  0.626  0.967  0.771

Output
SG	P312 (149)
E_tot	-7.794	eV per atom

Record 2
First-principles (GGA+U) data for crystalline Dy2HoMoO6 at its relaxed geometry, as listed in Alexandria.

abc: 6.003 6.003 6.003
angles: 56.91 56.91 56.91
Atoms (fractional coordinates):
Dy  0.000  0.000  0.000
Dy  0.494  0.494  0.494
Ho  0.280  0.280  0.280
Mo  0.789  0.789  0.789
O  0.079  0.404  0.675
O  0.168  0.895  0.589
O  0.404  0.675  0.079
O  0.589  0.168  0.895
O  0.675  0.079  0.404
O  0.895  0.589  0.168

Output
SG	R3 (146)
E_tot	-8.126	eV per atom

Record 3
First-principles (GGA+U) data for crystalline DyHo2MoO8 at its relaxed geometry, as listed in Alexandria.

abc: 5.038 5.038 6.781
angles: 90.00 90.00 90.70
Atoms (fractional coordinates):
Dy  0.000  0.000  0.000
Ho  0.500  0.500  0.251
Ho  0.500  0.500  0.749
Mo  0.000  0.000  0.500
O  0.184  0.816  0.288
O  0.184  0.816  0.712
O  0.276  0.276  0.500
O  0.308  0.308  0.000
O  0.692  0.692  0.000
O  0.724  0.724  0.500
O  0.816  0.184  0.288
O  0.816  0.184  0.712

Output
SG	Cmmm (65)
E_tot	-7.731	eV per atom